The following is a DFT calculation (PBE+U) of a relaxed FeIr2O crystal.

The structure in POSCAR format:
```
FeIr2O
1.0
-3.294 3.294 2.519
3.294 -3.294 2.519
3.294 3.294 -2.519
Fe Ir O
2 4 2
Direct
0.000 0.000 0.000 Fe
0.750 0.250 0.500 Fe
0.200 0.125 0.575 Ir
0.375 0.800 0.925 Ir
0.550 0.625 0.425 Ir
0.875 0.450 0.075 Ir
0.250 0.750 0.500 O
0.500 0.500 0.000 O
```

Crystal system: tetragonal
Raw total energy (eV/atom): -6.542
Theoretical density (g/cm3): 13.9
SG: I-42d, No. 122

=====

The following is a DFT calculation (PBE+U) of a relaxed FeIr2O6 crystal.

The structure in POSCAR format:
```
FeIr2O6
1.0
8.655 0.000 0.000
-4.328 7.496 0.000
0.000 0.000 4.274
Fe Ir O
3 6 18
Direct
0.000 0.000 0.000 Fe
0.333 0.667 0.506 Fe
0.667 0.333 0.494 Fe
0.000 0.318 0.500 Ir
0.000 0.653 0.000 Ir
0.318 0.000 0.500 Ir
0.347 0.347 0.000 Ir
0.653 0.000 0.000 Ir
0.682 0.682 0.500 Ir
0.103 0.884 0.767 O
0.116 0.218 0.767 O
0.116 0.542 0.748 O
0.215 0.768 0.268 O
0.218 0.116 0.233 O
0.232 0.448 0.268 O
0.426 0.884 0.748 O
0.448 0.232 0.732 O
0.458 0.574 0.748 O
0.542 0.116 0.252 O
0.552 0.785 0.268 O
0.574 0.458 0.252 O
0.768 0.215 0.732 O
0.782 0.897 0.767 O
0.785 0.552 0.732 O
0.884 0.103 0.233 O
0.884 0.426 0.252 O
0.897 0.782 0.233 O
```

Crystal system: trigonal
Raw total energy (eV/atom): -6.635
Theoretical density (g/cm3): 9.6
SG: P321, No. 150

=====

The following is a DFT calculation (PBE+U) of a relaxed Fe2Ir2O7 crystal.

The structure in POSCAR format:
```
Fe2Ir2O7
1.0
0.000 4.917 4.917
4.917 0.000 4.917
4.917 4.917 0.000
Fe Ir O
4 4 14
Direct
0.000 0.000 0.000 Fe
0.000 0.000 0.500 Fe
0.000 0.500 0.000 Fe
0.500 0.000 0.000 Fe
0.000 0.500 0.500 Ir
0.500 0.000 0.500 Ir
0.500 0.500 0.000 Ir
0.500 0.500 0.500 Ir
0.125 0.125 0.125 O
0.153 0.153 0.597 O
0.153 0.597 0.153 O
0.153 0.597 0.597 O
0.403 0.403 0.847 O
0.403 0.847 0.403 O
0.403 0.847 0.847 O
0.597 0.153 0.153 O
0.597 0.153 0.597 O
0.597 0.597 0.153 O
0.847 0.403 0.403 O
0.847 0.403 0.847 O
0.847 0.847 0.403 O
0.875 0.875 0.875 O
```

Crystal system: cubic
Raw total energy (eV/atom): -6.714
Theoretical density (g/cm3): 8.5
SG: Fd-3m, No. 227

=====

The following is a DFT calculation (PBE+U) of a relaxed FeIr3O crystal.

The structure in POSCAR format:
```
FeIr3O
1.0
4.131 0.000 0.000
0.000 4.131 0.000
0.000 0.000 4.131
Fe Ir O
1 3 1
Direct
0.000 0.000 0.000 Fe
0.000 0.500 0.500 Ir
0.500 0.000 0.500 Ir
0.500 0.500 0.000 Ir
0.500 0.500 0.500 O
```

Crystal system: cubic
Raw total energy (eV/atom): -6.587
Theoretical density (g/cm3): 15.3
SG: Pm-3m, No. 221
Energy above the most stable polymorph in this dataset (eV per formula unit): 0.00

=====

The following is a DFT calculation (PBE+U) of a relaxed FeIr3O crystal.

The structure in POSCAR format:
```
FeIr3O
1.0
4.431 0.000 0.000
0.000 4.431 0.000
0.000 0.000 4.431
Fe Ir O
1 3 1
Direct
0.000 0.000 0.000 Fe
0.000 0.000 0.500 Ir
0.000 0.500 0.000 Ir
0.500 0.000 0.000 Ir
0.500 0.500 0.500 O
```

Crystal system: cubic
Raw total energy (eV/atom): -4.731
Theoretical density (g/cm3): 12.4
SG: Pm-3m, No. 221
Energy above the most stable polymorph in this dataset (eV per formula unit): 9.28

=====

The following is a DFT calculation (PBE+U) of a relaxed FeIrO5 crystal.

The structure in POSCAR format:
```
FeIrO5
1.0
3.924 -3.829 0.000
3.924 3.829 0.000
-3.577 0.000 6.506
Fe Ir O
2 2 10
Direct
0.110 0.890 0.750 Fe
0.890 0.110 0.250 Fe
0.500 0.500 0.000 Ir
0.500 0.500 0.500 Ir
0.206 0.250 0.855 O
0.234 0.714 0.544 O
0.250 0.206 0.355 O
0.286 0.766 0.956 O
0.429 0.571 0.250 O
0.571 0.429 0.750 O
0.714 0.234 0.044 O
0.750 0.794 0.645 O
0.766 0.286 0.456 O
0.794 0.750 0.145 O
```

Crystal system: monoclinic
Raw total energy (eV/atom): -6.277
Theoretical density (g/cm3): 5.6
SG: C2/c, No. 15

=====

The following is a DFT calculation (PBE+U) of a relaxed Fe2Ir2O5 crystal.

The structure in POSCAR format:
```
Fe2Ir2O5
1.0
3.463 0.000 0.000
0.000 3.463 0.000
0.000 0.000 8.479
Fe Ir O
2 2 5
Direct
0.000 0.000 0.230 Fe
0.000 0.000 0.770 Fe
0.500 0.500 0.000 Ir
0.500 0.500 0.500 Ir
0.000 0.000 0.000 O
0.000 0.500 0.358 O
0.000 0.500 0.642 O
0.500 0.000 0.358 O
0.500 0.000 0.642 O
```

Crystal system: tetragonal
Raw total energy (eV/atom): -6.347
Theoretical density (g/cm3): 9.4
SG: P4/mmm, No. 123

=====

The following is a DFT calculation (PBE+U) of a relaxed FeIr2O8 crystal.

The structure in POSCAR format:
```
FeIr2O8
1.0
5.103 -2.954 0.000
5.103 2.954 0.000
0.000 0.000 5.866
Fe Ir O
1 2 8
Direct
0.000 0.000 0.000 Fe
0.333 0.333 0.704 Ir
0.667 0.667 0.296 Ir
0.168 0.661 0.815 O
0.169 0.169 0.812 O
0.335 0.335 0.404 O
0.339 0.832 0.185 O
0.661 0.168 0.815 O
0.665 0.665 0.596 O
0.831 0.831 0.188 O
0.832 0.339 0.185 O
```

Crystal system: monoclinic
Raw total energy (eV/atom): -6.154
Theoretical density (g/cm3): 5.3
SG: C2/m, No. 12